Material: Al3FeP
Method: DFT, GGA-PBE
State: optimized geometry

Results
- excess energy over the best structure of this formula in the dataset (kcal/mol of atoms) = 8.55
- formation energy from the elements (eV/atom) = 0.785

```
Al3FeP
1.0
4.623 0.000 0.000
0.000 4.623 0.000
0.000 0.000 4.623
Al Fe P
3 1 1
direct
0.000 0.000 0.500
0.000 0.500 0.000
0.500 0.000 0.000
0.500 0.500 0.500
0.000 0.000 0.000
```

=====

Material: AlFe2P
Method: DFT, GGA-PBE
State: optimized geometry

Results
- excess energy over the best structure of this formula in the dataset (kcal/mol of atoms) = 10.34
- formation energy from the elements (eV/atom) = 0.050

```
AlFe2P
1.0
0.000 2.910 2.910
2.910 0.000 2.910
2.910 2.910 0.000
Al Fe P
1 2 1
direct
0.000 0.000 0.000
0.500 0.500 0.500
0.750 0.750 0.750
0.250 0.250 0.250
```

=====

Material: AlFeP2
Method: DFT, GGA-PBE
State: optimized geometry

Results
- formation energy from the elements (eV/atom) = 0.209

```
AlFeP2
1.0
-1.834 1.834 3.733
1.834 -1.834 3.733
1.834 1.834 -3.733
Al Fe P
1 1 2
direct
0.000 0.000 0.000
0.250 0.750 0.500
0.500 0.500 0.000
0.750 0.250 0.500
```

=====

Material: AlFeP2
Method: DFT, GGA-PBE
State: optimized geometry

Results
- formation energy from the elements (eV/atom) = 0.120

```
AlFeP2
1.0
2.520 -3.262 0.000
2.520 3.262 0.000
0.000 0.000 3.179
Al Fe P
1 1 2
direct
0.000 0.000 0.000
0.500 0.500 0.000
0.000 0.500 0.500
0.500 0.000 0.500
```

=====

Material: Al4FeP
Method: DFT, GGA-PBE
State: optimized geometry

Results
- formation energy from the elements (eV/atom) = 0.375

```
Al4FeP
1.0
0.000 3.629 3.629
3.629 0.000 3.629
3.629 3.629 0.000
Al Fe P
4 1 1
direct
0.124 0.124 0.124
0.124 0.124 0.627
0.124 0.627 0.124
0.627 0.124 0.124
0.750 0.750 0.750
0.500 0.500 0.500
```

=====

Material: AlFeP3
Method: DFT, GGA-PBE
State: optimized geometry

Results
- excess energy over the best structure of this formula in the dataset (kcal/mol of atoms) = 0.00
- formation energy from the elements (eV/atom) = 0.527

```
AlFeP3
1.0
4.377 0.000 0.000
0.000 4.377 0.000
0.000 0.000 4.377
Al Fe P
1 1 3
direct
0.000 0.000 0.000
0.500 0.500 0.500
0.000 0.500 0.500
0.500 0.000 0.500
0.500 0.500 0.000
```

=====

Material: AlFeP2
Method: DFT, GGA-PBE
State: optimized geometry

Results
- formation energy from the elements (eV/atom) = 0.010

```
AlFeP2
1.0
1.388 0.801 8.380
-1.388 0.801 8.380
0.000 -1.603 8.380
Al Fe P
1 1 2
direct
0.000 0.000 0.000
0.500 0.500 0.500
0.232 0.232 0.232
0.768 0.768 0.768
```

=====

Material: AlFeP2
Method: DFT, GGA-PBE
State: optimized geometry

Results
- formation energy from the elements (eV/atom) = -0.012

```
AlFeP2
1.0
4.280 0.000 0.000
0.000 2.926 0.000
-1.844 0.000 4.599
Al Fe P
1 1 2
direct
0.000 0.000 0.000
0.500 0.000 0.500
0.241 0.500 0.688
0.759 0.500 0.312
```

=====

Material: Al3FeP
Method: DFT, GGA-PBE
State: optimized geometry

Results
- excess energy over the best structure of this formula in the dataset (kcal/mol of atoms) = 0.00
- formation energy from the elements (eV/atom) = 0.414

```
Al3FeP
1.0
4.492 0.000 0.000
0.000 4.492 0.000
0.000 0.000 4.492
Al Fe P
3 1 1
direct
0.000 0.000 0.500
0.000 0.500 0.000
0.500 0.000 0.000
0.000 0.000 0.000
0.500 0.500 0.500
```

=====

Material: AlFePS2
Method: DFT, GGA-PBE
State: optimized geometry

Results
- excess energy over the best structure of this formula in the dataset (kcal/mol of atoms) = 0.00
- raw formation energy (kJ per mole of atoms) = 36.1

```
AlFePS2
1.0
4.624 0.000 0.000
0.000 4.624 0.000
0.000 0.000 4.168
Al Fe P S
1 1 1 2
direct
0.000 0.000 0.000
0.500 0.500 0.500
0.500 0.500 0.000
0.000 0.500 0.500
0.500 0.000 0.500
```

=====

Material: AlFeP2S
Method: DFT, GGA-PBE
State: optimized geometry

Results
- excess energy over the best structure of this formula in the dataset (kcal/mol of atoms) = 0.00
- raw formation energy (kJ per mole of atoms) = 36.5

```
AlFeP2S
1.0
4.166 0.000 0.000
0.000 4.166 0.000
0.000 0.000 5.110
Al Fe P S
1 1 2 1
direct
0.000 0.000 0.000
0.500 0.500 0.500
0.000 0.500 0.500
0.500 0.000 0.500
0.500 0.500 0.000
```

=====

Material: TiAlFe2P
Method: DFT, GGA-PBE
State: optimized geometry

Results
- formation energy from the elements (eV/atom) = 1.231

```
TiAlFe2P
1.0
4.278 0.000 0.000
0.000 4.278 0.000
0.000 0.000 4.940
Ti Al Fe P
1 1 2 1
direct
0.000 0.000 0.000
0.000 0.000 0.500
0.000 0.500 0.000
0.500 0.000 0.000
0.500 0.500 0.500
```

=====

Material: TiAl2FeP
Method: DFT, GGA-PBE
State: optimized geometry

Results
- formation energy from the elements (eV/atom) = 0.505

```
TiAl2FeP
1.0
4.533 0.000 0.000
0.000 4.533 0.000
0.000 0.000 4.498
Ti Al Fe P
1 2 1 1
direct
0.000 0.000 0.000
0.000 0.500 0.500
0.500 0.000 0.500
0.500 0.500 0.000
0.000 0.000 0.500
```

=====

Material: PaAl11Fe
Method: DFT, GGA-PBE
State: optimized geometry

Results
- formation energy from the elements (eV/atom) = -0.157

```
PaAl11Fe
1.0
2.581 -6.273 0.000
2.581 6.273 0.000
-2.476 0.000 6.586
Pa Al Fe
1 11 1
direct
0.000 0.000 0.000
0.000 0.000 0.500
0.000 0.500 0.000
0.024 0.366 0.360
0.290 0.500 0.775
0.366 0.024 0.360
0.500 0.000 0.000
0.500 0.290 0.775
0.500 0.710 0.225
0.634 0.976 0.640
0.710 0.500 0.225
0.976 0.634 0.640
0.500 0.500 0.500
```

=====

Material: PaAl10Fe3
Method: DFT, GGA-PBE
State: optimized geometry

Results
- formation energy from the elements (eV/atom) = -0.039

```
PaAl10Fe3
1.0
0.000 6.199 6.199
6.199 0.000 6.199
6.199 6.199 0.000
Pa Al Fe
2 20 6
direct
0.250 0.250 0.250
0.750 0.750 0.750
0.000 0.000 0.328
0.000 0.000 0.672
0.000 0.328 0.000
0.000 0.328 0.672
0.000 0.672 0.000
0.000 0.672 0.328
0.177 0.608 0.608
0.328 0.000 0.000
0.328 0.000 0.672
0.328 0.672 0.000
0.392 0.392 0.392
0.392 0.392 0.823
0.392 0.823 0.392
0.608 0.177 0.608
0.608 0.608 0.177
0.608 0.608 0.608
0.672 0.000 0.000
0.672 0.000 0.328
0.672 0.328 0.000
0.823 0.392 0.392
0.264 0.264 0.736
0.264 0.736 0.264
0.264 0.736 0.736
0.736 0.264 0.264
0.736 0.264 0.736
0.736 0.736 0.264
```

=====

Material: Pa2AlFe
Method: DFT, GGA-PBE
State: optimized geometry

Results
- excess energy over the best structure of this formula in the dataset (kcal/mol of atoms) = 0.00
- formation energy from the elements (eV/atom) = -0.133

```
Pa2AlFe
1.0
5.866 0.000 0.000
0.000 5.823 0.000
0.000 0.000 9.723
Pa Al Fe
8 4 4
direct
0.043 0.232 0.091
0.043 0.268 0.409
0.457 0.732 0.409
0.457 0.768 0.091
0.543 0.232 0.909
0.543 0.268 0.591
0.957 0.732 0.591
0.957 0.768 0.909
0.012 0.250 0.750
0.488 0.750 0.750
0.512 0.250 0.250
0.988 0.750 0.250
0.250 0.000 0.613
0.250 0.500 0.887
0.750 0.000 0.387
0.750 0.500 0.113
```

=====

Material: PaAlFe2
Method: DFT, GGA-PBE
State: optimized geometry

Results
- formation energy from the elements (eV/atom) = -0.087

```
PaAlFe2
1.0
3.012 0.000 0.000
0.000 3.012 0.000
0.000 0.000 6.486
Pa Al Fe
1 1 2
direct
0.000 0.000 0.000
0.000 0.000 0.500
0.500 0.500 0.289
0.500 0.500 0.711
```

=====

Material: Pa4Al16Fe3
Method: DFT, GGA-PBE
State: optimized geometry

Results
- formation energy from the elements (eV/atom) = -0.318

```
Pa4Al16Fe3
1.0
6.074 0.000 0.000
0.000 6.074 0.000
0.000 0.000 11.136
Pa Al Fe
4 16 3
direct
0.000 0.500 0.194
0.000 0.500 0.806
0.500 0.000 0.194
0.500 0.000 0.806
0.000 0.000 0.197
0.000 0.000 0.803
0.223 0.223 0.000
0.223 0.777 0.000
0.250 0.250 0.385
0.250 0.250 0.615
0.250 0.750 0.385
0.250 0.750 0.615
0.500 0.500 0.217
0.500 0.500 0.783
0.750 0.250 0.385
0.750 0.250 0.615
0.750 0.750 0.385
0.750 0.750 0.615
0.777 0.223 0.000
0.777 0.777 0.000
0.000 0.500 0.500
0.500 0.000 0.500
0.500 0.500 0.000
```

=====

Material: PaAlFe2
Method: DFT, GGA-PBE
State: optimized geometry

Results
- formation energy from the elements (eV/atom) = -0.252

```
PaAlFe2
1.0
4.238 0.000 0.000
0.000 4.238 0.000
0.000 0.000 3.352
Pa Al Fe
1 1 2
direct
0.000 0.000 0.000
0.500 0.500 0.000
0.000 0.500 0.500
0.500 0.000 0.500
```

=====

Material: Pa2AlFe9
Method: DFT, GGA-PBE
State: optimized geometry

Results
- formation energy from the elements (eV/atom) = -0.028

```
Pa2AlFe9
1.0
2.399 1.385 8.303
-2.399 1.385 8.303
0.000 -2.770 8.303
Pa Al Fe
2 1 9
direct
0.141 0.141 0.141
0.859 0.859 0.859
0.000 0.000 0.000
0.078 0.581 0.581
0.333 0.333 0.333
0.419 0.419 0.922
0.419 0.922 0.419
0.500 0.500 0.500
0.581 0.078 0.581
0.581 0.581 0.078
0.667 0.667 0.667
0.922 0.419 0.419
```

=====

Material: Pa2AlFe3
Method: DFT, GGA-PBE
State: optimized geometry

Results
- formation energy from the elements (eV/atom) = -0.284

```
Pa2AlFe3
1.0
5.193 0.000 0.000
-2.596 4.497 0.000
0.000 0.000 8.112
Pa Al Fe
4 2 6
direct
0.333 0.667 0.072
0.333 0.667 0.428
0.667 0.333 0.572
0.667 0.333 0.928
0.000 0.000 0.000
0.000 0.000 0.500
0.171 0.342 0.750
0.171 0.829 0.750
0.342 0.171 0.250
0.658 0.829 0.750
0.829 0.171 0.250
0.829 0.658 0.250
```

=====

Material: PaAlFe2
Method: DFT, GGA-PBE
State: optimized geometry

Results
- formation energy from the elements (eV/atom) = -0.222

```
PaAlFe2
1.0
0.000 3.130 3.130
3.130 0.000 3.130
3.130 3.130 0.000
Pa Al Fe
1 1 2
direct
0.000 0.000 0.000
0.500 0.500 0.500
0.250 0.250 0.250
0.750 0.750 0.750
```

=====

Material: PaAl3Fe2
Method: DFT, GGA-PBE
State: optimized geometry

Results
- formation energy from the elements (eV/atom) = -0.310

```
PaAl3Fe2
1.0
4.240 -4.102 0.000
4.240 4.102 0.000
0.000 0.000 5.431
Pa Al Fe
2 6 4
direct
0.115 0.885 0.750
0.885 0.115 0.250
0.064 0.592 0.250
0.408 0.936 0.250
0.493 0.507 0.750
0.507 0.493 0.250
0.592 0.064 0.750
0.936 0.408 0.750
0.251 0.251 0.000
0.251 0.251 0.500
0.749 0.749 0.000
0.749 0.749 0.500
```

=====

Material: PaAl3Fe
Method: DFT, GGA-PBE
State: optimized geometry

Results
- formation energy from the elements (eV/atom) = -0.357

```
PaAl3Fe
1.0
8.029 0.000 0.000
0.000 3.822 0.000
0.000 0.000 11.044
Pa Al Fe
4 12 4
direct
0.168 0.250 0.012
0.332 0.750 0.512
0.668 0.250 0.488
0.832 0.750 0.988
0.046 0.250 0.418
0.089 0.750 0.235
0.160 0.750 0.779
0.340 0.250 0.279
0.411 0.250 0.735
0.454 0.750 0.918
0.546 0.250 0.082
0.589 0.750 0.265
0.660 0.750 0.721
0.840 0.250 0.221
0.911 0.250 0.765
0.954 0.750 0.582
0.151 0.250 0.628
0.349 0.750 0.128
0.651 0.250 0.872
0.849 0.750 0.372
```

=====

M_tot
In order: 2.8 4.1 0.0 1.3 2.4 0.0 0.2 0.0 1.3 1.2 0.0 3.4 2.6 0.0 10.2 0.0 0.0 0.0 0.0 12.6 6.1 0.1 0.0 0.0
Unit: Bohr magnetons per cell
Calculated volume
In order: 98.79 49.26 50.21 52.28 95.56 83.83 55.94 57.60 90.67 89.12 88.68 90.42 92.42 213.26 476.36 332.15 58.84 410.84 60.19 165.57 189.44 61.35 188.89 338.94
Unit: Å³/cell